! Sr2Mg6ZnCd, optimized geometry, DFT GGA-PBE; values from VASP
! * calculated density: 2.87 g cm⁻³
! * energy: -1.55 eV per atom
&SYSTEM
  ibrav = 0, nat = 10, ntyp = 4
/
ATOMIC_SPECIES
Sr 87.62 Sr.upf
Mg 24.30 Mg.upf
Zn 65.41 Zn.upf
Cd 112.41 Cd.upf
ATOMIC_POSITIONS angstrom
Sr 3.8742 -1.0571 7.2899
Sr 7.2454 -2.7072 4.8743
Mg 4.2678 -0.6226 3.5284
Mg 9.7464 -2.9822 9.8384
Mg 4.4409 -3.5263 2.3522
Mg 6.6787 -0.2379 9.8121
Mg 1.3732 -0.7820 2.3259
Mg 6.8518 -3.1417 8.6359
Zn 2.5396 -2.5462 3.8234
Cd 0.0000 0.0000 0.0000
CELL_PARAMETERS angstrom
-0.2995 -0.3054 7.6199
5.3788 -4.7869 0.0269
6.0403 1.3281 4.5175